(1)
DFT (GGA-PBE) results for Ho2ZnHg3 after structural relaxation.

The structure belongs to space group Fmmm (No. 69); the cell edges are 6.926, 9.596 and 16.643 Å and the angles 90.00°, 90.00° and 90.00°. The inequivalent atoms are Ho at (0.248, 0.000, 0.000), Ho at (0.250, 0.250, 0.250), Zn at (0.000, 0.000, 0.333), Hg at (0.000, 0.000, 0.172) and Hg at (0.000, 0.240, 0.414).

The value obtained for the density of states at the Fermi level is 0.5247 states/eV/atom. As for the formation energy from the elements: -391 meV per atom. As for the energy: -2.281 eV per atom.


(2)
DFT (GGA-PBE) results for Ho3Zn4Hg4 after structural relaxation.

The structure belongs to space group P-1 (No. 2); the cell edges are 3.542, 4.671 and 14.656 Å and the angles 99.05°, 96.92° and 90.03°. The inequivalent atoms are Ho at (0.000, 0.000, 0.000), Ho at (0.143, 0.644, 0.287), Zn at (0.262, 0.263, 0.525), Zn at (0.406, 0.907, 0.813), Hg at (0.314, 0.814, 0.627) and Hg at (0.448, 0.450, 0.899).

The value obtained for the density of states at the Fermi level is 0.5117 states/eV/atom. As for the formation energy from the elements: -315 meV per atom. As for the energy: -2.137 eV per atom.


(3)
DFT (GGA-PBE) results for Ho2Zn2Hg after structural relaxation.

The structure belongs to space group C2/m (No. 12); the cell edges are 10.841, 4.537 and 10.209 Å and the angles 90.00°, 115.39° and 90.00°. The inequivalent atoms are Ho at (0.019, 0.000, 0.333), Ho at (0.184, 0.000, 0.097), Zn at (0.030, 0.500, 0.888), Zn at (0.127, 0.500, 0.570) and Hg at (0.228, 0.500, 0.337).

The value obtained for the density of states at the Fermi level is 0.8592 states/eV/atom. As for the formation energy from the elements: -336 meV per atom. As for the energy: -2.737 eV per atom.


(4)
DFT (GGA-PBE) results for Ho3Zn2Hg4 after structural relaxation.

The structure belongs to space group C2/m (No. 12); the cell edges are 10.793, 4.778 and 8.904 Å and the angles 90.00°, 117.19° and 90.00°. The inequivalent atoms are Ho at (0.000, 0.000, 0.000), Ho at (0.163, 0.500, 0.668), Zn at (0.111, 0.500, 0.284), Hg at (0.070, 0.000, 0.394) and Hg at (0.208, 0.500, 0.055).

The value obtained for the density of states at the Fermi level is 0.5234 states/eV/atom. As for the formation energy from the elements: -398 meV per atom. As for the energy: -2.341 eV per atom.


> Which of these has the highest energy?

Ho3Zn4Hg4